PBE-GGA PuWC2, optimized geometry; symmetry = Pnma; energy relative to the lowest polymorph listed for this composition = 0.000 eV per atom; Fermi-level density of states = 32.91 states/eV/cell
1.0
5.7070 0.0000 0.0000
0.0000 3.2880 0.0000
0.0000 0.0000 10.9385
Pu W C
4 4 8
direct
0.0833 0.2500 0.1397
0.4167 0.7500 0.6397
0.5833 0.2500 0.3603
0.9167 0.7500 0.8603
0.0855 0.7500 0.3934
0.4145 0.2500 0.8934
0.5855 0.7500 0.1066
0.9145 0.2500 0.6066
0.1641 0.2500 0.7541
0.2357 0.2500 0.4888
0.2643 0.7500 0.9888
0.3359 0.7500 0.2541
0.6641 0.2500 0.7459
0.7357 0.2500 0.0112
0.7643 0.7500 0.5112
0.8359 0.7500 0.2459

PBE-GGA PuW2C2, optimized geometry; energy = -11.608 eV per atom; symmetry = Fddd; Fermi-level density of states = 17.87 states/eV/cell
1.0
0.0000 4.4498 4.5893
3.5663 0.0000 4.5893
3.5663 4.4498 0.0000
Pu W C
2 4 4
direct
0.1250 0.1250 0.1250
0.8750 0.8750 0.8750
0.2309 0.2309 0.5191
0.4809 0.4809 0.7691
0.5191 0.5191 0.2309
0.7691 0.7691 0.4809
0.1726 0.5774 0.1726
0.4226 0.8274 0.4226
0.5774 0.1726 0.5774
0.8274 0.4226 0.8274

PBE-GGA PuWC2, optimized geometry; symmetry = R3m; energy relative to the lowest polymorph listed for this composition = 0.233 eV per atom; Fermi-level density of states = 6.46 states/eV/cell
1.0
1.5737 0.9086 5.8647
-1.5737 0.9086 5.8647
0.0000 -1.8172 5.8647
Pu W C
1 1 2
direct
0.0000 0.0000 0.0000
0.1741 0.1741 0.1741
0.5762 0.5762 0.5762
0.7679 0.7679 0.7679

PBE-GGA PuWC2, optimized geometry; symmetry = Pmc2_1; energy relative to the lowest polymorph listed for this composition = 0.295 eV per atom; Fermi-level density of states = 11.54 states/eV/cell
1.0
3.0976 0.0000 0.0000
0.0000 6.4515 0.0000
0.0000 0.0000 5.4654
Pu W C
2 2 4
direct
0.0000 0.1450 0.0000
0.0000 0.8550 0.5000
0.5000 0.4044 0.5530
0.5000 0.5956 0.0530
0.0000 0.4693 0.2820
0.0000 0.5307 0.7820
0.5000 0.1150 0.6597
0.5000 0.8850 0.1597

PBE-GGA Pu2W2C3, optimized geometry; energy = -11.869 eV per atom; symmetry = C2/m; Fermi-level density of states = 16.22 states/eV/cell
1.0
5.9916 -1.6459 0.0000
5.9916 1.6459 0.0000
-2.2649 0.0000 5.2268
Pu W C
2 2 3
direct
0.1050 0.1050 0.3086
0.8950 0.8950 0.6914
0.3430 0.3430 0.1736
0.6570 0.6570 0.8264
0.2491 0.2491 0.7563
0.5000 0.5000 0.5000
0.7509 0.7509 0.2437

PBE-GGA Y2PuC, optimized geometry; energy = -9.081 eV per atom; symmetry = R-3m; Fermi-level density of states = 10.87 states/eV/cell
1.0
1.7563 1.0140 9.7038
-1.7563 1.0140 9.7038
0.0000 -2.0280 9.7038
Y Pu C
2 1 1
direct
0.1196 0.1196 0.1196
0.8804 0.8804 0.8804
0.0000 0.0000 0.0000
0.5000 0.5000 0.5000

PBE-GGA YPu3C, optimized geometry; energy = -11.520 eV per atom; symmetry = Pm-3m; Fermi-level density of states = 16.30 states/eV/cell
1.0
4.9472 0.0000 0.0000
0.0000 4.9472 0.0000
0.0000 0.0000 4.9472
Y Pu C
1 3 1
direct
0.0000 0.0000 0.0000
0.0000 0.5000 0.5000
0.5000 0.0000 0.5000
0.5000 0.5000 0.0000
0.5000 0.5000 0.5000

PBE-GGA YPuC, optimized geometry; symmetry = Fddd; energy relative to the lowest polymorph listed for this composition = 0.219 eV per atom; Fermi-level density of states = 24.19 states/eV/cell
1.0
0.0000 4.8409 6.0327
4.2278 0.0000 6.0327
4.2278 4.8409 0.0000
Y Pu C
4 4 4
direct
0.0102 0.0102 0.7398
0.2602 0.2602 0.9898
0.7398 0.7398 0.0102
0.9898 0.9898 0.2602
0.0000 0.5000 0.5000
0.5000 0.0000 0.5000
0.5000 0.5000 0.0000
0.5000 0.5000 0.5000
0.0807 0.6693 0.0807
0.3307 0.9193 0.3307
0.6693 0.0807 0.6693
0.9193 0.3307 0.9193

PBE-GGA YPu2C, optimized geometry; energy = -10.756 eV per atom; symmetry = R-3m; Fermi-level density of states = 8.03 states/eV/cell
1.0
1.9757 1.1407 6.1681
-1.9757 1.1407 6.1681
0.0000 -2.2813 6.1681
Y Pu C
1 2 1
direct
0.0000 0.0000 0.0000
0.1902 0.1902 0.1902
0.8098 0.8098 0.8098
0.5000 0.5000 0.5000

PBE-GGA Y3PuC2, optimized geometry; energy = -8.876 eV per atom; symmetry = C2/m; Fermi-level density of states = 17.32 states/eV/cell
1.0
8.0861 -1.7729 0.0000
8.0861 1.7729 0.0000
-8.0045 0.0000 9.4229
Y Pu C
6 2 4
direct
0.1348 0.1348 0.1953
0.3598 0.3598 0.5484
0.3614 0.3614 0.0552
0.6386 0.6386 0.9448
0.6402 0.6402 0.4516
0.8652 0.8652 0.8047
0.1414 0.1414 0.6981
0.8586 0.8586 0.3019
0.2511 0.2511 0.6283
0.2521 0.2521 0.1314
0.7479 0.7479 0.8686
0.7489 0.7489 0.3717

PBE-GGA YPuC, optimized geometry; symmetry = F-43m; energy relative to the lowest polymorph listed for this composition = 0.400 eV per atom; Fermi-level density of states = 4.84 states/eV/cell
1.0
0.0000 3.0730 3.0730
3.0730 0.0000 3.0730
3.0730 3.0730 0.0000
Y Pu C
1 1 1
direct
0.0000 0.0000 0.0000
0.5000 0.5000 0.5000
0.7500 0.7500 0.7500

PBE-GGA YPuC, optimized geometry; symmetry = P3m1; energy relative to the lowest polymorph listed for this composition = 0.000 eV per atom; Fermi-level density of states = 8.04 states/eV/cell
1.0
3.4795 0.0000 0.0000
-1.7398 3.0134 0.0000
0.0000 0.0000 6.2844
Y Pu C
1 1 1
direct
0.0000 0.0000 0.0000
0.6667 0.3333 0.4483
0.3333 0.6667 0.2301